Record 1
DFT (PBE-GGA) results for crystalline HfZrTl at its relaxed geometry.

Lattice parameters (Å, degrees): 3.049 5.085 5.085 120.00 90.00 90.00
Atoms (fractional coordinates):
Zr 0.167 0.333 0.667
Hf 0.167 0.000 0.000
Tl 0.666 0.667 0.333

## Properties
formation energy from the elements	0.30	eV/atom
offset from the most stable computed form	334	meV/atom
space group	P-6m2
energy	-6.655	eV/atom

Record 2
DFT (PBE-GGA) results for crystalline Hf3Zr3Tl2 at its relaxed geometry.

Lattice parameters (Å, degrees): 4.483 4.465 8.894 90.00 90.00 90.00
Atoms (fractional coordinates):
Hf 0.500 0.000 0.000
Hf 0.500 0.500 0.248
Hf 0.500 0.500 0.752
Zr 0.000 0.500 0.000
Zr 0.000 0.500 0.500
Zr 0.500 0.000 0.500
Tl 0.000 0.000 0.250
Tl 0.000 0.000 0.750

## Properties
formation energy from the elements	-0.04	eV/atom
space group	Pmmm
energy	-7.574	eV/atom

Record 3
DFT (PBE-GGA) results for crystalline Hf3ZrTl at its relaxed geometry.

Lattice parameters (Å, degrees): 4.412 7.360 7.020 91.48 90.00 90.00
Atoms (fractional coordinates):
Zr 0.250 0.851 0.560
Zr 0.750 0.149 0.440
Hf 0.250 0.256 0.740
Hf 0.750 0.744 0.260
Hf 0.750 0.548 0.648
Hf 0.250 0.452 0.352
Hf 0.750 0.975 0.847
Hf 0.250 0.025 0.153
Tl 0.250 0.661 0.945
Tl 0.750 0.339 0.055

## Properties
formation energy from the elements	0.03	eV/atom
offset from the most stable computed form	0	meV/atom
space group	P2_1/m
energy	-8.126	eV/atom

Record 4
DFT (PBE-GGA) results for crystalline HfZr7Tl3 at its relaxed geometry.

Lattice parameters (Å, degrees): 5.195 7.650 7.650 85.64 110.07 110.07
Each line ends with the local moment (μB).
Atoms (fractional coordinates):
Zr 0.197 0.196 0.196  0.01
Zr 0.707 0.412 0.002  0.00
Zr 0.293 0.588 0.998  0.00
Zr 0.707 0.002 0.412  0.00
Zr 0.293 0.998 0.588  0.00
Zr 0.803 0.804 0.804  0.01
Zr 0.000 0.500 0.500  0.15
Tl 0.000 0.779 0.221  0.00
Tl 0.000 0.221 0.779  0.00
Tl 0.500 0.000 0.000  0.00
Hf 0.500 0.500 0.500  0.14

## Properties
formation energy from the elements	0.26	eV/atom
space group	C2/m
energy	-6.729	eV/atom

Record 5
DFT (PBE-GGA) results for crystalline Hf3Zr3Tl2 at its relaxed geometry.

Lattice parameters (Å, degrees): 4.446 4.465 8.965 90.00 90.00 90.00
Atoms (fractional coordinates):
Zr 0.500 0.000 0.000
Zr 0.500 0.500 0.252
Zr 0.500 0.500 0.748
Tl 0.000 0.000 0.251
Tl 0.000 0.000 0.749
Hf 0.000 0.500 0.500
Hf 0.500 0.000 0.500
Hf 0.000 0.500 0.000

## Properties
formation energy from the elements	-0.04	eV/atom
space group	Pmmm
energy	-7.574	eV/atom

Record 6
DFT (PBE-GGA) results for crystalline Hf3ZrTl at its relaxed geometry.

Lattice parameters (Å, degrees): 5.254 5.254 5.254 90.00 90.00 90.00
Each line ends with the local moment (μB).
Atoms (fractional coordinates):
Hf 0.500 0.000 0.000  0.20
Hf 0.000 0.000 0.500  0.28
Hf 0.000 0.500 0.000  0.26
Tl 0.000 0.000 0.000  0.04
Zr 0.500 0.500 0.500  0.64

## Properties
formation energy from the elements	1.35	eV/atom
offset from the most stable computed form	1318	meV/atom
space group	Pm-3m
energy	-6.808	eV/atom

Record 7
DFT (PBE-GGA) results for crystalline Hf7ZrTl3 at its relaxed geometry.

Lattice parameters (Å, degrees): 5.699 6.864 6.864 83.43 93.88 93.88
Atoms (fractional coordinates):
Hf 0.733 0.087 0.420
Hf 0.733 0.420 0.087
Hf 0.238 0.238 0.238
Hf 0.267 0.913 0.580
Hf 0.267 0.580 0.913
Hf 0.762 0.762 0.762
Hf 0.000 0.500 0.500
Tl 0.000 0.181 0.819
Tl 0.500 0.000 0.000
Tl 0.000 0.819 0.181
Zr 0.500 0.500 0.500

## Properties
formation energy from the elements	0.31	eV/atom
space group	C2/m
energy	-7.447	eV/atom

Record 8
DFT (PBE-GGA) results for crystalline HfZr4Tl at its relaxed geometry.

Lattice parameters (Å, degrees): 4.977 4.974 7.879 71.58 71.59 59.98
Atoms (fractional coordinates):
Zr 0.875 0.875 0.376
Zr 0.125 0.125 0.624
Zr 0.364 0.364 0.908
Zr 0.636 0.636 0.092
Hf 0.000 0.000 0.000
Tl 0.500 0.500 0.500

## Properties
formation energy from the elements	0.60	eV/atom
offset from the most stable computed form	606	meV/atom
space group	R-3m
energy	-7.155	eV/atom

Record 9
DFT (PBE-GGA) results for crystalline Hf2Zr6Tl at its relaxed geometry.

Lattice parameters (Å, degrees): 5.119 8.151 8.151 43.55 71.70 71.70
Atoms (fractional coordinates):
Hf 0.609 0.891 0.891
Hf 0.391 0.109 0.109
Zr 0.000 0.761 0.239
Zr 0.199 0.050 0.552
Zr 0.000 0.239 0.761
Zr 0.801 0.950 0.448
Zr 0.801 0.448 0.950
Zr 0.199 0.552 0.050
Tl 0.500 0.500 0.500

## Properties
formation energy from the elements	0.39	eV/atom
space group	Immm
energy	-7.780	eV/atom

Record 10
DFT (PBE-GGA) results for crystalline Hf2Zr2Tl at its relaxed geometry.

Lattice parameters (Å, degrees): 4.129 4.129 7.785 74.62 74.62 90.00
Atoms (fractional coordinates):
Zr 0.408 0.408 0.184
Zr 0.592 0.592 0.816
Hf 0.250 0.750 0.500
Hf 0.750 0.250 0.500
Tl 0.000 0.000 0.000

## Properties
formation energy from the elements	0.47	eV/atom
offset from the most stable computed form	340	meV/atom
space group	I4/mmm
energy	-7.400	eV/atom

Record 11
DFT (PBE-GGA) results for crystalline HfZr5Tl at its relaxed geometry.

Lattice parameters (Å, degrees): 4.373 4.373 8.937 90.00 90.00 90.00
Atoms (fractional coordinates):
Zr 0.500 0.000 0.737
Zr 0.000 0.500 0.263
Zr 0.500 0.500 0.000
Zr 0.000 0.500 0.737
Zr 0.500 0.000 0.263
Hf 0.000 0.000 0.500
Tl 0.000 0.000 0.000

## Properties
formation energy from the elements	0.30	eV/atom
space group	P4/mmm
energy	-7.569	eV/atom

Record 12
DFT (PBE-GGA) results for crystalline HfZr5Tl2 at its relaxed geometry.

Lattice parameters (Å, degrees): 5.210 6.100 13.173 90.00 90.00 115.28
Atoms (fractional coordinates):
Zr 0.386 0.772 0.456
Zr 0.614 0.228 0.956
Zr 0.935 0.870 0.606
Zr 0.614 0.228 0.544
Zr 0.935 0.870 0.894
Zr 0.552 0.105 0.250
Zr 0.448 0.895 0.750
Zr 0.065 0.130 0.106
Zr 0.386 0.772 0.044
Zr 0.065 0.130 0.394
Tl 0.210 0.421 0.628
Tl 0.210 0.421 0.872
Tl 0.790 0.579 0.372
Tl 0.790 0.579 0.128
Hf 0.722 0.444 0.750
Hf 0.278 0.556 0.250

## Properties
formation energy from the elements	0.10	eV/atom
space group	Cmcm
energy	-7.076	eV/atom

Question: Look up the formation energy from the elements of the eleventh one.
Answer: 0.30 eV/atom

Question: Which formula does entry 5 have?
Answer: Hf3Zr3Tl2